## Pa2PbAu (PBE)

Data for a relaxed structure of Pa2PbAu.

Summary:
ΔE_f	-0.057	eV/atom
energy above the lowest structure with this stoichiometry	0.0183	eV per atom

Geometry as POSCAR:
```
Pa2PbAu
1.0
4.778 0.000 0.000
0.000 4.496 0.000
0.000 0.000 4.496
Au Pa Pb
1 2 1
Cartesian
2.389 0.000 0.000 Au
0.000 2.248 0.000 Pa
0.000 0.000 2.248 Pa
2.389 2.248 2.248 Pb
```

***

## Co2W (PBE)

Data for a relaxed structure of Co2W.

Summary:
ΔE_f	0.130	eV/atom

Geometry as POSCAR:
```
Co2W
1.0
5.679 0.005 0.000
4.441 3.540 0.000
-5.060 -1.773 1.873
Co W
2 1
Cartesian
0.107 0.038 0.000 Co
6.640 2.326 0.000 Co
3.373 1.182 0.000 W
```

***

## GdHo2Sc (PBE)

Data for a relaxed structure of GdHo2Sc.

Summary:
ΔE_f	0.042	eV/atom
energy above the lowest structure with this stoichiometry	0.0000	eV per atom

Geometry as POSCAR:
```
GdHo2Sc
1.0
4.926 0.000 0.000
0.000 4.894 0.000
0.000 0.000 4.894
Sc Ho Gd
1 2 1
Cartesian
2.463 0.000 0.000 Sc
0.000 0.000 2.447 Ho
0.000 2.447 0.000 Ho
2.463 2.447 2.447 Gd
```

***

## Sr2Li5Mg5 (PBE)

Data for a relaxed structure of Sr2Li5Mg5.

Summary:
ΔE_f	-0.043	eV/atom

Geometry as POSCAR:
```
Sr2Li5Mg5
1.0
-0.197 -4.001 2.838
6.065 0.164 0.653
-1.110 6.256 8.742
Mg Sr Li
5 2 5
Cartesian
2.663 2.162 3.233 Mg
2.291 4.258 6.162 Mg
-0.916 5.161 7.211 Mg
-0.194 1.095 1.530 Mg
-0.099 -2.000 1.419 Mg
3.033 0.082 0.326 Sr
-0.555 3.128 4.371 Sr
4.164 -0.314 4.092 Li
2.379 1.210 6.116 Li
1.149 -0.396 3.767 Li
3.609 2.816 8.465 Li
0.593 2.734 8.141 Li
```

***

## Dy3ZnIn3 (PBE)

Data for a relaxed structure of Dy3ZnIn3.

Summary:
ΔE_f	-0.418	eV/atom

Geometry as POSCAR:
```
Dy3ZnIn3
1.0
4.560 0.000 0.687
2.243 5.598 0.587
0.180 0.147 14.287
Dy In Zn
6 6 2
Cartesian
2.620 1.678 13.569 Dy
3.730 3.928 6.200 Dy
5.182 4.308 12.034 Dy
1.801 1.436 3.526 Dy
4.363 4.066 1.992 Dy
3.253 1.816 9.361 Dy
0.667 1.155 11.053 In
1.315 1.567 6.751 In
5.668 4.178 8.810 In
4.398 0.960 1.760 In
2.585 4.785 13.800 In
6.316 4.589 4.508 In
3.235 5.120 9.483 Zn
3.748 0.625 6.077 Zn
```

***

## NaLa2As3Pd4 (PBE)

Data for a relaxed structure of NaLa2As3Pd4.

Summary:
ΔE_f	-0.850	eV/atom

Geometry as POSCAR:
```
NaLa2As3Pd4
1.0
4.324 0.000 0.000
0.000 4.324 0.000
0.000 0.000 10.874
La As Pd Na
2 3 4 1
Cartesian
0.000 2.162 8.367 La
2.162 0.000 2.508 La
2.162 0.000 9.443 As
0.000 0.000 5.437 As
0.000 2.162 1.431 As
0.000 0.000 0.000 Pd
2.162 2.162 0.000 Pd
2.162 0.000 6.993 Pd
0.000 2.162 3.881 Pd
2.162 2.162 5.437 Na
```

***

## LiPu3Pt3 (PBE)

Data for a relaxed structure of LiPu3Pt3.

Summary:
ΔE_f	-0.553	eV/atom

Geometry as POSCAR:
```
LiPu3Pt3
1.0
6.830 0.047 0.094
-3.001 6.136 0.094
-0.505 -0.816 7.296
Pu Pt Li
6 6 2
Cartesian
2.320 3.746 2.918 Pu
1.004 1.621 4.565 Pu
4.763 0.763 3.742 Pu
4.670 1.385 0.094 Pu
-1.439 4.604 3.742 Pu
-0.840 4.798 0.094 Pu
2.521 0.891 2.040 Pt
0.803 4.477 5.443 Pt
3.650 2.713 5.443 Pt
-0.326 2.654 2.040 Pt
-0.106 -0.172 1.573 Pt
3.431 5.539 5.910 Pt
2.191 3.538 7.336 Li
1.133 1.829 0.147 Li
```

***

## CsYAlS4 (PBE)

Data for a relaxed structure of CsYAlS4.

Summary:
total energy	-5.327	eV/atom

Geometry as POSCAR:
```
CsYAlS4
1.0
-1.557 6.727 0.316
-1.716 -0.651 5.405
9.455 -0.513 2.940
S Cs Y Al
8 2 2 2
Cartesian
3.280 5.724 7.675 S
3.408 2.031 5.848 S
2.092 -0.468 3.537 S
2.902 -0.161 0.986 S
4.090 6.031 5.124 S
6.307 3.092 3.882 S
2.774 3.532 2.813 S
-0.125 2.471 4.779 S
6.637 4.082 7.120 Cs
-0.455 1.481 1.541 Cs
1.747 4.310 5.595 Y
4.435 1.253 3.066 Y
4.654 4.493 3.526 Al
1.528 1.070 5.135 Al
```

***

## LaCd2Fe (PBE)

Data for a relaxed structure of LaCd2Fe.

Summary:
ΔE_f	0.155	eV/atom

Geometry as POSCAR:
```
LaCd2Fe
1.0
5.531 -0.369 0.000
2.184 5.095 0.000
-3.858 -2.363 3.204
Cd Fe La
2 1 1
Cartesian
3.858 2.363 0.000 Cd
0.000 0.000 0.000 Cd
1.092 2.548 1.602 Fe
2.766 -0.185 1.602 La
```

***

## RbAs2IrOs (PBE)

Data for a relaxed structure of RbAs2IrOs.

Summary:
ΔE_f	1.406	eV/atom

Geometry as POSCAR:
```
RbAs2IrOs
1.0
-4.516 -1.223 -0.433
1.213 -5.529 2.961
-0.942 2.011 4.140
Ir As Os Rb
1 2 1 1
Cartesian
-2.122 -2.371 3.334 Ir
-2.258 -0.611 -0.217 As
-0.471 1.005 2.070 As
0.000 0.000 0.000 Os
0.606 -2.765 1.480 Rb
```

***

## KTc2Sb (PBE)

Data for a relaxed structure of KTc2Sb.

Summary:
total energy	-5.660	eV/atom

Geometry as POSCAR:
```
KTc2Sb
1.0
6.221 0.008 0.007
2.947 5.478 -0.007
-3.720 -4.187 2.707
K Sb Tc
1 1 2
Cartesian
4.524 2.707 0.000 K
3.909 -0.499 1.357 Sb
1.365 1.694 1.350 Tc
0.234 0.140 0.000 Tc
```

***

## AlOsW2 (PBE)

Data for a relaxed structure of AlOsW2.

Summary:
ΔE_f	0.011	eV/atom

Geometry as POSCAR:
```
AlOsW2
1.0
4.391 0.000 0.000
0.000 2.808 -0.038
0.000 0.793 4.948
Al Os W
1 1 2
Cartesian
0.000 2.056 2.390 Al
2.195 2.508 3.731 Os
2.195 0.755 1.328 W
0.000 0.876 4.863 W
```